# 1
# Tb2Ga2IrPd3 GGA-PBE relaxed
data_Tb2Ga2IrPd3
_chemical_formula_sum 'Tb2 Ga2 Ir1 Pd3'
_cell_length_a 4.3839
_cell_length_b 4.3839
_cell_length_c 9.1288
_cell_angle_alpha 90.00
_cell_angle_beta 90.00
_cell_angle_gamma 120.00
_symmetry_space_group_name_H-M 'P 3 m 1'
_symmetry_Int_Tables_number 156
_symmetry_space_group_name_Hall 'P 3 -2"'
loop_
_atom_site_label
_atom_site_type_symbol
_atom_site_fract_x
_atom_site_fract_y
_atom_site_fract_z
Tb1 Tb 0.0000 0.0000 0.0000
Tb2 Tb 0.3333 0.6667 0.4889
Ga1 Ga 0.6667 0.3333 0.2242
Ga2 Ga 0.6667 0.3333 0.7401
Ir1 Ir 0.3333 0.6667 0.1669
Pd1 Pd 0.0000 0.0000 0.3296
Pd2 Pd 0.0000 0.0000 0.6625
Pd3 Pd 0.3333 0.6667 0.8211
# Uncorrected energy = -46.4 eV per formula unit
# Volume = 18.99 A^3/atom

***

# 2
# Tb2Ga2Ir3Pd GGA-PBE relaxed
data_Tb2Ga2Ir3Pd
_chemical_formula_sum 'Tb2 Ga2 Ir3 Pd1'
_cell_length_a 4.3457
_cell_length_b 4.3457
_cell_length_c 9.1302
_cell_angle_alpha 90.00
_cell_angle_beta 90.00
_cell_angle_gamma 120.00
_symmetry_space_group_name_H-M 'P 3 m 1'
_symmetry_Int_Tables_number 156
_symmetry_space_group_name_Hall 'P 3 -2"'
loop_
_atom_site_label
_atom_site_type_symbol
_atom_site_fract_x
_atom_site_fract_y
_atom_site_fract_z
Tb1 Tb 0.0000 0.0000 0.0000
Tb2 Tb 0.3333 0.6667 0.5052
Ga1 Ga 0.6667 0.3333 0.2363
Ga2 Ga 0.6667 0.3333 0.7479
Ir1 Ir 0.0000 0.0000 0.6733
Ir2 Ir 0.3333 0.6667 0.1668
Ir3 Ir 0.3333 0.6667 0.8347
Pd1 Pd 0.0000 0.0000 0.3344
# Uncorrected energy = -52.4 eV per formula unit
# Volume = 18.67 A^3/atom

***

# 3
# Tm2Ga2Ir3Pd GGA-PBE relaxed
data_Tm2Ga2Ir3Pd
_chemical_formula_sum 'Tm2 Ga2 Ir3 Pd1'
_cell_length_a 4.3285
_cell_length_b 4.3285
_cell_length_c 8.9546
_cell_angle_alpha 90.00
_cell_angle_beta 90.00
_cell_angle_gamma 120.00
_symmetry_space_group_name_H-M 'P 3 m 1'
_symmetry_Int_Tables_number 156
_symmetry_space_group_name_Hall 'P 3 -2"'
loop_
_atom_site_label
_atom_site_type_symbol
_atom_site_fract_x
_atom_site_fract_y
_atom_site_fract_z
Tm1 Tm 0.0000 0.0000 0.0000
Tm2 Tm 0.3333 0.6667 0.5032
Ga1 Ga 0.6667 0.3333 0.2687
Ga2 Ga 0.6667 0.3333 0.7561
Ir1 Ir 0.0000 0.0000 0.3439
Ir2 Ir 0.0000 0.0000 0.6657
Ir3 Ir 0.3333 0.6667 0.8325
Pd1 Pd 0.3333 0.6667 0.1667
# Uncorrected energy = -52.4 eV per formula unit
# Volume = 18.16 A^3/atom

***

# 4
# Y2Ga4IrPd GGA-PBE relaxed
data_Y2Ga4IrPd
_chemical_formula_sum 'Y4 Ga8 Ir2 Pd2'
_cell_length_a 6.7350
_cell_length_b 4.3424
_cell_length_c 10.2408
_cell_angle_alpha 90.00
_cell_angle_beta 90.00
_cell_angle_gamma 90.00
_symmetry_space_group_name_H-M 'A m m 2'
_symmetry_Int_Tables_number 38
_symmetry_space_group_name_Hall 'A 2 -2'
loop_
_atom_site_label
_atom_site_type_symbol
_atom_site_fract_x
_atom_site_fract_y
_atom_site_fract_z
Y1 Y 0.0000 0.0000 0.0000
Y2 Y 0.5000 0.0000 0.1584
Ga1 Ga 0.1971 0.0000 0.7136
Ga2 Ga 0.3035 0.0000 0.4438
Ir1 Ir 0.0000 0.0000 0.2860
Pd1 Pd 0.5000 0.0000 0.8729
# Uncorrected energy = -45.3 eV per formula unit
# Volume = 18.72 A^3/atom

***

# 5
# Zr3ZnGa2Ir2Pd GGA-PBE relaxed
data_Zr3ZnGa2Ir2Pd
_chemical_formula_sum 'Zr6 Zn2 Ga4 Ir4 Pd2'
_cell_length_a 3.4748
_cell_length_b 12.5259
_cell_length_c 7.2615
_cell_angle_alpha 90.00
_cell_angle_beta 90.00
_cell_angle_gamma 90.00
_symmetry_space_group_name_H-M 'A m m 2'
_symmetry_Int_Tables_number 38
_symmetry_space_group_name_Hall 'A 2 -2'
loop_
_atom_site_label
_atom_site_type_symbol
_atom_site_fract_x
_atom_site_fract_y
_atom_site_fract_z
Zr1 Zr 0.0000 0.0000 0.0000
Zr2 Zr 0.0000 0.2025 0.6160
Zn1 Zn 0.5000 0.0000 0.6772
Ga1 Ga 0.5000 0.1326 0.2784
Ir1 Ir 0.5000 0.1680 0.9124
Pd1 Pd 0.0000 0.0000 0.4079
# Uncorrected energy = -62.8 eV per formula unit
# Volume = 17.56 A^3/atom

***

# 6
# PmGaIr GGA-PBE relaxed
data_PmGaIr
_chemical_formula_sum 'Pm4 Ga4 Ir4'
_cell_length_a 6.4183
_cell_length_b 6.4183
_cell_length_c 6.4183
_cell_angle_alpha 90.00
_cell_angle_beta 90.00
_cell_angle_gamma 90.00
_symmetry_space_group_name_H-M 'F -4 3 m'
_symmetry_Int_Tables_number 216
_symmetry_space_group_name_Hall 'F -4 2 3'
loop_
_atom_site_label
_atom_site_type_symbol
_atom_site_fract_x
_atom_site_fract_y
_atom_site_fract_z
Pm1 Pm 0.0000 0.0000 0.0000
Ga1 Ga 0.2500 0.2500 0.7500
Ir1 Ir 0.0000 0.0000 0.5000
# Volume = 22.03 A^3/atom
# E above lowest polymorph = 566 meV/atom

***

# 7
# PmGa5Ir GGA-PBE relaxed
data_PmGa5Ir
_chemical_formula_sum 'Pm1 Ga5 Ir1'
_cell_length_a 4.3719
_cell_length_b 4.3719
_cell_length_c 6.9676
_cell_angle_alpha 90.00
_cell_angle_beta 90.00
_cell_angle_gamma 90.00
_symmetry_space_group_name_H-M 'P 4/m m m'
_symmetry_Int_Tables_number 123
_symmetry_space_group_name_Hall '-P 4 2'
loop_
_atom_site_label
_atom_site_type_symbol
_atom_site_fract_x
_atom_site_fract_y
_atom_site_fract_z
Pm1 Pm 0.0000 0.0000 0.0000
Ga1 Ga 0.0000 0.5000 0.3058
Ga2 Ga 0.5000 0.5000 0.0000
Ir1 Ir 0.0000 0.0000 0.5000
# Uncorrected energy = -32.7 eV per formula unit
# Volume = 19.03 A^3/atom

***

# 8
# Pm2Ga5Ir3 GGA-PBE relaxed
data_Pm2Ga5Ir3
_chemical_formula_sum 'Pm8 Ga20 Ir12'
_cell_length_a 10.0502
_cell_length_b 12.8071
_cell_length_c 5.7866
_cell_angle_alpha 90.00
_cell_angle_beta 90.00
_cell_angle_gamma 90.00
_symmetry_space_group_name_H-M 'I b a m'
_symmetry_Int_Tables_number 72
_symmetry_space_group_name_Hall '-I 2 2c'
loop_
_atom_site_label
_atom_site_type_symbol
_atom_site_fract_x
_atom_site_fract_y
_atom_site_fract_z
Pm1 Pm 0.2287 0.1384 0.0000
Ga1 Ga 0.0000 0.0000 0.2500
Ga2 Ga 0.0000 0.2946 0.2500
Ga3 Ga 0.1732 0.4109 0.0000
Ir1 Ir 0.0000 0.5000 0.2500
Ir2 Ir 0.0937 0.1492 0.5000
# Uncorrected energy = -58.7 eV per formula unit
# Volume = 18.62 A^3/atom

***

# 9
# PmGaIr GGA-PBE relaxed
data_PmGaIr
_chemical_formula_sum 'Pm4 Ga4 Ir4'
_cell_length_a 6.6853
_cell_length_b 6.6853
_cell_length_c 6.6853
_cell_angle_alpha 90.00
_cell_angle_beta 90.00
_cell_angle_gamma 90.00
_symmetry_space_group_name_H-M 'F -4 3 m'
_symmetry_Int_Tables_number 216
_symmetry_space_group_name_Hall 'F -4 2 3'
loop_
_atom_site_label
_atom_site_type_symbol
_atom_site_fract_x
_atom_site_fract_y
_atom_site_fract_z
Pm1 Pm 0.0000 0.0000 0.0000
Ga1 Ga 0.2500 0.2500 0.7500
Ir1 Ir 0.2500 0.2500 0.2500
# Volume = 24.90 A^3/atom
# E above lowest polymorph = 976 meV/atom

***

# 10
# Pm3Ga3Ir2 GGA-PBE relaxed
data_Pm3Ga3Ir2
_chemical_formula_sum 'Pm12 Ga12 Ir8'
_cell_length_a 4.2728
_cell_length_b 10.6702
_cell_length_c 15.2934
_cell_angle_alpha 90.00
_cell_angle_beta 90.00
_cell_angle_gamma 90.00
_symmetry_space_group_name_H-M 'C m c m'
_symmetry_Int_Tables_number 63
_symmetry_space_group_name_Hall '-C 2c 2'
loop_
_atom_site_label
_atom_site_type_symbol
_atom_site_fract_x
_atom_site_fract_y
_atom_site_fract_z
Pm1 Pm 0.0000 0.0726 0.1084
Pm2 Pm 0.0000 0.3497 0.2500
Ga1 Ga 0.0000 0.3557 0.7500
Ga2 Ga 0.0000 0.3589 0.0343
Ir1 Ir 0.0000 0.2148 0.6088
# Uncorrected energy = -47.0 eV per formula unit
# Volume = 21.79 A^3/atom

***

# 11
# PmGa2Ir2 GGA-PBE relaxed
data_PmGa2Ir2
_chemical_formula_sum 'Pm2 Ga4 Ir4'
_cell_length_a 4.2778
_cell_length_b 4.2778
_cell_length_c 10.2306
_cell_angle_alpha 90.00
_cell_angle_beta 90.00
_cell_angle_gamma 90.00
_symmetry_space_group_name_H-M 'P 4/n m m'
_symmetry_Int_Tables_number 129
loop_
_symmetry_equiv_pos_as_xyz
'x,y,z'
'-x,-y,-z'
'-y+1/2,x,z'
'y+1/2,-x,-z'
'-x+1/2,-y+1/2,z'
'x+1/2,y+1/2,-z'
'y,-x+1/2,z'
'-y,x+1/2,-z'
'x+1/2,-y,-z'
'-x+1/2,y,z'
'-y,-x,-z'
'y,x,z'
'-x,y+1/2,-z'
'x,-y+1/2,z'
'y+1/2,x+1/2,-z'
'-y+1/2,-x+1/2,z'
loop_
_atom_site_label
_atom_site_type_symbol
_atom_site_fract_x
_atom_site_fract_y
_atom_site_fract_z
Pm1 Pm 0.2500 0.2500 0.2378
Ga1 Ga 0.2500 0.2500 0.8735
Ga2 Ga 0.2500 0.7500 0.5000
Ir1 Ir 0.2500 0.2500 0.6314
Ir2 Ir 0.2500 0.7500 0.0000
# Uncorrected energy = -32.1 eV per formula unit
# Volume = 18.72 A^3/atom

***

# 12
# PmGaIr GGA-PBE relaxed
data_PmGaIr
_chemical_formula_sum 'Pm4 Ga4 Ir4'
_cell_length_a 7.2734
_cell_length_b 4.5816
_cell_length_c 7.2876
_cell_angle_alpha 90.00
_cell_angle_beta 90.00
_cell_angle_gamma 90.00
_symmetry_space_group_name_H-M 'P n m a'
_symmetry_Int_Tables_number 62
_symmetry_space_group_name_Hall '-P 2ac 2n'
loop_
_atom_site_label
_atom_site_type_symbol
_atom_site_fract_x
_atom_site_fract_y
_atom_site_fract_z
Pm1 Pm 0.0232 0.2500 0.1911
Ga1 Ga 0.1929 0.2500 0.6047
Ir1 Ir 0.1614 0.7500 0.4308
# Volume = 20.24 A^3/atom
# E above lowest polymorph = 0 meV/atom

***

# 13
# PrGaIr GGA-PBE relaxed
data_PrGaIr
_chemical_formula_sum 'Pr4 Ga4 Ir4'
_cell_length_a 6.7723
_cell_length_b 6.7723
_cell_length_c 6.7723
_cell_angle_alpha 90.00
_cell_angle_beta 90.00
_cell_angle_gamma 90.00
_symmetry_space_group_name_H-M 'F -4 3 m'
_symmetry_Int_Tables_number 216
_symmetry_space_group_name_Hall 'F -4 2 3'
loop_
_atom_site_label
_atom_site_type_symbol
_atom_site_fract_x
_atom_site_fract_y
_atom_site_fract_z
Pr1 Pr 0.0000 0.0000 0.0000
Ga1 Ga 0.2500 0.2500 0.7500
Ir1 Ir 0.2500 0.2500 0.2500
# Uncorrected energy = -15.9 eV per formula unit
# Volume = 25.88 A^3/atom

***

# 14
# PrGaIr GGA-PBE relaxed
data_PrGaIr
_chemical_formula_sum 'Pr4 Ga4 Ir4'
_cell_length_a 6.4858
_cell_length_b 6.4858
_cell_length_c 6.4858
_cell_angle_alpha 90.00
_cell_angle_beta 90.00
_cell_angle_gamma 90.00
_symmetry_space_group_name_H-M 'F -4 3 m'
_symmetry_Int_Tables_number 216
_symmetry_space_group_name_Hall 'F -4 2 3'
loop_
_atom_site_label
_atom_site_type_symbol
_atom_site_fract_x
_atom_site_fract_y
_atom_site_fract_z
Pr1 Pr 0.0000 0.0000 0.0000
Ga1 Ga 0.2500 0.2500 0.7500
Ir1 Ir 0.0000 0.0000 0.5000
# Uncorrected energy = -17.1 eV per formula unit
# Volume = 22.74 A^3/atom

***

# 15
# PrScGa4Ir2 GGA-PBE relaxed
data_PrScGa4Ir2
_chemical_formula_sum 'Pr1 Sc1 Ga4 Ir2'
_cell_length_a 4.2271
_cell_length_b 7.0284
_cell_length_c 5.4418
_cell_angle_alpha 90.00
_cell_angle_beta 112.66
_cell_angle_gamma 90.00
_symmetry_space_group_name_H-M 'P 1 m 1'
_symmetry_Int_Tables_number 6
_symmetry_space_group_name_Hall 'P -2y'
loop_
_atom_site_label
_atom_site_type_symbol
_atom_site_fract_x
_atom_site_fract_y
_atom_site_fract_z
Pr1 Pr 0.0000 0.0000 0.0000
Sc1 Sc 0.1490 0.5000 0.2986
Ga1 Ga 0.4320 0.3104 0.8619
Ga2 Ga 0.7133 0.2075 0.4278
Ir1 Ir 0.2835 0.0000 0.5683
Ir2 Ir 0.8670 0.5000 0.7310
# Uncorrected energy = -46.3 eV per formula unit
# Volume = 18.65 A^3/atom

***

# 16
# PrGaSiIr2 GGA-PBE relaxed
data_PrGaSiIr2
_chemical_formula_sum 'Pr2 Ga2 Si2 Ir4'
_cell_length_a 4.1908
_cell_length_b 4.1908
_cell_length_c 10.3391
_cell_angle_alpha 90.00
_cell_angle_beta 90.00
_cell_angle_gamma 90.00
_symmetry_space_group_name_H-M 'P 4/n m m'
_symmetry_Int_Tables_number 129
loop_
_symmetry_equiv_pos_as_xyz
'x,y,z'
'-x,-y,-z'
'-y+1/2,x,z'
'y+1/2,-x,-z'
'-x+1/2,-y+1/2,z'
'x+1/2,y+1/2,-z'
'y,-x+1/2,z'
'-y,x+1/2,-z'
'x+1/2,-y,-z'
'-x+1/2,y,z'
'-y,-x,-z'
'y,x,z'
'-x,y+1/2,-z'
'x,-y+1/2,z'
'y+1/2,x+1/2,-z'
'-y+1/2,-x+1/2,z'
loop_
_atom_site_label
_atom_site_type_symbol
_atom_site_fract_x
_atom_site_fract_y
_atom_site_fract_z
Pr1 Pr 0.2500 0.2500 0.2505
Ga1 Ga 0.2500 0.7500 0.0000
Si1 Si 0.2500 0.2500 0.6233
Ir1 Ir 0.2500 0.2500 0.8549
Ir2 Ir 0.2500 0.7500 0.5000
# Uncorrected energy = -35.5 eV per formula unit
# Volume = 18.16 A^3/atom

***

# 17
# PrZrGa4Ir2 GGA-PBE relaxed
data_PrZrGa4Ir2
_chemical_formula_sum 'Pr1 Zr1 Ga4 Ir2'
_cell_length_a 4.2555
_cell_length_b 6.8473
_cell_length_c 5.5025
_cell_angle_alpha 90.00
_cell_angle_beta 112.67
_cell_angle_gamma 90.00
_symmetry_space_group_name_H-M 'P 1 m 1'
_symmetry_Int_Tables_number 6
_symmetry_space_group_name_Hall 'P -2y'
loop_
_atom_site_label
_atom_site_type_symbol
_atom_site_fract_x
_atom_site_fract_y
_atom_site_fract_z
Pr1 Pr 0.0000 0.0000 0.0000
Zr1 Zr 0.1519 0.5000 0.3044
Ga1 Ga 0.4370 0.3096 0.8729
Ga2 Ga 0.7115 0.2081 0.4243
Ir1 Ir 0.2854 0.0000 0.5724
Ir2 Ir 0.8695 0.5000 0.7375
# Uncorrected energy = -48.3 eV per formula unit
# Volume = 18.49 A^3/atom

***

# 18
# GaIrPt GGA-PBE relaxed
data_GaIrPt
_chemical_formula_sum 'Ga4 Ir4 Pt4'
_cell_length_a 5.9979
_cell_length_b 5.9979
_cell_length_c 5.9979
_cell_angle_alpha 90.00
_cell_angle_beta 90.00
_cell_angle_gamma 90.00
_symmetry_space_group_name_H-M 'F -4 3 m'
_symmetry_Int_Tables_number 216
_symmetry_space_group_name_Hall 'F -4 2 3'
loop_
_atom_site_label
_atom_site_type_symbol
_atom_site_fract_x
_atom_site_fract_y
_atom_site_fract_z
Ga1 Ga 0.0000 0.0000 0.0000
Ir1 Ir 0.2500 0.2500 0.2500
Pt1 Pt 0.0000 0.0000 0.5000
# Volume = 17.98 A^3/atom
# E above lowest polymorph = 0 meV/atom

***

# 19
# GaIr2Pt GGA-PBE relaxed
data_GaIr2Pt
_chemical_formula_sum 'Ga4 Ir8 Pt4'
_cell_length_a 6.2364
_cell_length_b 6.2364
_cell_length_c 6.2364
_cell_angle_alpha 90.00
_cell_angle_beta 90.00
_cell_angle_gamma 90.00
_symmetry_space_group_name_H-M 'F -4 3 m'
_symmetry_Int_Tables_number 216
_symmetry_space_group_name_Hall 'F -4 2 3'
loop_
_atom_site_label
_atom_site_type_symbol
_atom_site_fract_x
_atom_site_fract_y
_atom_site_fract_z
Ga1 Ga 0.0000 0.0000 0.0000
Ir1 Ir 0.0000 0.0000 0.5000
Ir2 Ir 0.2500 0.2500 0.7500
Pt1 Pt 0.2500 0.2500 0.2500
# Uncorrected energy = -26.4 eV per formula unit
# Volume = 15.16 A^3/atom

***

# 20
# Ga2Ir2Pt GGA-PBE relaxed
data_Ga2Ir2Pt
_chemical_formula_sum 'Ga4 Ir4 Pt2'
_cell_length_a 3.7917
_cell_length_b 3.7917
_cell_length_c 11.4350
_cell_angle_alpha 90.00
_cell_angle_beta 90.00
_cell_angle_gamma 90.00
_symmetry_space_group_name_H-M 'I 4/m m m'
_symmetry_Int_Tables_number 139
_symmetry_space_group_name_Hall '-I 4 2'
loop_
_atom_site_label
_atom_site_type_symbol
_atom_site_fract_x
_atom_site_fract_y
_atom_site_fract_z
Ga1 Ga 0.0000 0.0000 0.1048
Ir1 Ir 0.0000 0.5000 0.2500
Pt1 Pt 0.0000 0.0000 0.5000
# Uncorrected energy = -29.2 eV per formula unit
# Volume = 16.44 A^3/atom